1.
# LiPrNi

A relaxed structure of LiPrNi (PBE, Alexandria).

The space group is C2/m (No. 12) and the conventional cell measures 12.537, 3.975 and 5.367 Å, with angles of 90.00, 99.23 and 90.00 degrees. The distinct sites, in fractional coordinates, are Li at (0.096, 0.000, 0.307), Pr at (0.135, 0.500, 0.826) and Ni at (0.234, 0.500, 0.360).

The calculation puts the density of states at the Fermi level at 0.76 states/eV per atom. The relative energy among the computed polymorphs is 0.0517 eV/atom. The value obtained for the total magnetic moment is 0.0 μB/f.u. The energy comes out at -4.2767 eV/atom.

2.
# ZnCdHg2H

A relaxed structure of ZnCdHg2H (PBE, Alexandria).

The space group is P4/mmm (No. 123) and the conventional cell measures 5.562, 5.562 and 3.376 Å, with angles of 90.00, 90.00 and 90.00 degrees. The distinct sites, in fractional coordinates, are Zn at (0.000, 0.000, 0.000), Cd at (0.500, 0.500, 0.500), Hg at (0.000, 0.500, 0.000) and H at (0.000, 0.000, 0.500).

The calculation puts the density of states at the Fermi level at 0.24 states/eV per atom. The value obtained for the total magnetic moment is 0.0 μB/f.u. The energy comes out at -1.0726 eV/atom.

3.
# Pm3SmMg4

A relaxed structure of Pm3SmMg4 (PBE, Alexandria).

The space group is P4/mmm (No. 123) and the conventional cell measures 3.863, 3.863 and 15.454 Å, with angles of 90.00, 90.00 and 90.00 degrees. The distinct sites, in fractional coordinates, are Pm at (0.000, 0.000, 0.000), Pm at (0.000, 0.000, 0.251), Sm at (0.000, 0.000, 0.500), Mg at (0.500, 0.500, 0.126) and Mg at (0.500, 0.500, 0.377).

The calculation puts the density of states at the Fermi level at 1.31 states/eV per atom. The value obtained for the total magnetic moment is 0.0 μB/f.u. The energy comes out at -3.2717 eV/atom.